# KTlMoO4

Crystalline KTlMoO4 at its relaxed geometry (PBE+U, the Alexandria database).

## Properties
- space group = No. 11
- total DFT energy (no corrections) (eV for the cell shown) = -83.17

Cell: 7.1306 6.4533 7.5555 Å, 90.00 100.66 90.00°
Last column: nearest neighbours and their distance in Å.
Element x y z (fractional)
K: 0.8148 0.7500 0.3905  5 O 2.72-2.90
O: 0.4535 0.7500 0.1941  1 Mo 1.79
O: 0.5465 0.2500 0.8059  1 Mo 1.79
Mo: 0.6971 0.2500 0.6412  4 O 1.79-1.81
Mo: 0.3029 0.7500 0.3588  4 O 1.79-1.81
Tl: 0.6913 0.7500 0.8682  3 O 2.52-2.70
O: 0.1495 0.9756 0.3298  1 Mo 1.81
O: 0.5533 0.2500 0.4189  1 Mo 1.80
O: 0.4467 0.7500 0.5811  1 Mo 1.80
Tl: 0.3087 0.2500 0.1318  3 O 2.52-2.70
O: 0.8505 0.0244 0.6702  1 Mo 1.81
O: 0.8505 0.4756 0.6702  1 Mo 1.81
K: 0.1852 0.2500 0.6095  5 O 2.72-2.90
O: 0.1495 0.5244 0.3298  1 Mo 1.81